[1]
First-principles (PBE-GGA) data for a geometry-optimized Ca3Be structure, as listed in Alexandria via LeMat-Bulk.

Output
Energy above the most stable polymorph in this dataset, meV per atom: 0
DFT formation energy, eV/atom: 0.21
Symmetry: Pnma
Total magnetization, μB/cell: 0.000
Fermi-level density of states, states/eV/cell: 18.73
Uncorrected energy, eV/atom: -2.221
Volume, Å³ per cell: 520

a = 7.8189 Å, b = 9.8770 Å, c = 6.7333 Å
α = 90.00°, β = 90.00°, γ = 90.00°
Closest atoms and distances in Å follow each position.
Positions (direct):
1 Ca 0.0374 0.2500 0.1393  2 Be 2.97-3.02
2 Ca 0.1739 0.0652 0.6618  2 Be 3.03-3.12
3 Ca 0.1739 0.4348 0.6618  2 Be 3.03-3.12
4 Ca 0.3261 0.5652 0.1618  2 Be 3.03-3.12
5 Ca 0.3261 0.9348 0.1618  2 Be 3.03-3.12
6 Ca 0.4626 0.7500 0.6393  2 Be 2.97-3.02
7 Ca 0.5374 0.2500 0.3607  2 Be 2.97-3.02
8 Ca 0.6739 0.0652 0.8382  2 Be 3.03-3.12
9 Ca 0.6739 0.4348 0.8382  2 Be 3.03-3.12
10 Ca 0.8261 0.5652 0.3382  2 Be 3.03-3.12
11 Ca 0.8261 0.9348 0.3382  2 Be 3.03-3.12
12 Ca 0.9626 0.7500 0.8607  2 Be 2.97-3.02
13 Be 0.1197 0.7500 0.4513  6 Ca 2.97-3.12
14 Be 0.3803 0.2500 0.9513  6 Ca 2.97-3.12
15 Be 0.6197 0.7500 0.0487  6 Ca 2.97-3.12
16 Be 0.8803 0.2500 0.5487  6 Ca 2.97-3.12

[2]
First-principles (PBE-GGA) data for a geometry-optimized CaBe structure, as listed in Alexandria via LeMat-Bulk.

Output
Energy above the most stable polymorph in this dataset, meV per atom: 340
DFT formation energy, eV/atom: 0.55
Symmetry: P-3m1
Total magnetization, μB/cell: 0.000
Fermi-level density of states, states/eV/cell: 3.42
Uncorrected energy, eV/atom: -2.315
Volume, Å³ per cell: 103

a = 3.7465 Å, b = 3.7465 Å, c = 8.4608 Å
α = 90.00°, β = 90.00°, γ = 120.00°
Closest atoms and distances in Å follow each position.
Positions (direct):
1 Ca 0.3333 0.6667 0.1959  4 Be 2.91-3.11
2 Ca 0.6667 0.3333 0.8041  4 Be 2.91-3.11
3 Be 0.3333 0.6667 0.5401  3 Be 2.27
4 Be 0.6667 0.3333 0.4599  3 Be 2.27

[3]
First-principles (PBE-GGA) data for a geometry-optimized Ca5Be structure, as listed in Alexandria via LeMat-Bulk.

Output
Energy above the most stable polymorph in this dataset, meV per atom: 113
DFT formation energy, eV/atom: 0.26
Symmetry: Amm2
Total magnetization, μB/cell: 0.002
Fermi-level density of states, states/eV/cell: 8.26
Uncorrected energy, eV/atom: -2.027
Volume, Å³ per cell: 208

a = 5.8074 Å, b = 8.7716 Å, c = 8.7716 Å
α = 27.81°, β = 90.00°, γ = 90.00°
Closest atoms and distances in Å follow each position.
Positions (direct):
1 Ca 0.0000 0.0000 0.0000  2 Be 3.14
2 Ca 0.0000 0.2735 0.2735  2 Be 3.14
3 Ca 0.5000 0.1364 0.1364  8 Ca 3.54-3.73, 4 Be 3.59
4 Ca 0.5000 0.4691 0.4691  8 Ca 3.52-3.63
5 Ca 0.5000 0.8035 0.8035  8 Ca 3.52-3.62
6 Be 0.0000 0.6368 0.6368  4 Ca 3.14

[4]
First-principles (PBE-GGA) data for a geometry-optimized Ca4Be5 structure, as listed in Alexandria via LeMat-Bulk.

Output
Energy above the most stable polymorph in this dataset, meV per atom: 0
DFT formation energy, eV/atom: 0.33
Symmetry: I4/mmm
Total magnetization, μB/cell: 0.000
Fermi-level density of states, states/eV/cell: 3.91
Uncorrected energy, eV/atom: -2.630
Volume, Å³ per cell: 217

a = 7.7125 Å, b = 7.7125 Å, c = 7.7125 Å
α = 93.65°, β = 93.65°, γ = 150.78°
Closest atoms and distances in Å follow each position.
Positions (direct):
1 Ca 0.0000 0.2803 0.2803  5 Be 2.93-2.96
2 Ca 0.0000 0.7197 0.7197  5 Be 2.93-2.96
3 Ca 0.2803 0.0000 0.2803  5 Be 2.93-2.96
4 Ca 0.7197 0.0000 0.7197  5 Be 2.93-2.96
5 Be 0.0000 0.0000 0.0000  8 Be 2.42
6 Be 0.4037 0.4037 0.8075  2 Be 2.03
7 Be 0.4037 0.5963 0.0000  2 Be 2.03
8 Be 0.5963 0.4037 0.0000  2 Be 2.03
9 Be 0.5963 0.5963 0.1925  2 Be 2.03